Entry 1:
DFT (meta-GGA SCAN) results for a crystal of Y2ScZn relaxed with PBEsol.

a = 3.5359 Å, b = 5.0653 Å, c = 10.9114 Å
α = 90.00°, β = 90.00°, γ = 90.00°
Space group Imm2 (No. 44)
Asymmetric unit:
1 Y 0.0000 0.0000 0.0000 x2
2 Y 0.0000 0.5000 0.2147 x2
3 Sc 0.0000 0.0000 0.4262 x2
4 Zn 0.0000 0.5000 0.7271 x2

=====

Entry 2:
DFT (meta-GGA SCAN) results for a crystal of YScZn relaxed with PBEsol.

Output
- E above lowest polymorph: 0.00 kcal/mol of atoms

a = 6.2087 Å, b = 4.8991 Å, c = 8.7298 Å
α = 90.00°, β = 90.00°, γ = 90.00°
Space group Pnma (No. 62)
Asymmetric unit:
1 Y 0.1802 0.2500 0.0788 x4
2 Sc 0.0132 0.2500 0.7009 x4
3 Zn 0.2068 0.2500 0.4062 x4

=====

Entry 3:
DFT (meta-GGA SCAN) results for a crystal of Y2ScZn relaxed with PBEsol.

a = 3.4186 Å, b = 3.4186 Å, c = 8.3630 Å
α = 90.00°, β = 90.00°, γ = 90.00°
Space group P4mm (No. 99)
Asymmetric unit:
1 Y 0.0000 0.0000 0.0000 x1
2 Y 0.5000 0.5000 0.3124 x1
3 Sc 0.5000 0.5000 0.7160 x1
4 Zn 0.0000 0.0000 0.5397 x1

=====

Entry 4:
DFT (meta-GGA SCAN) results for a crystal of YScZn relaxed with PBEsol.

Output
- E above lowest polymorph: 1.42 kcal/mol of atoms

a = 3.3980 Å, b = 3.3980 Å, c = 11.6592 Å
α = 90.00°, β = 90.00°, γ = 90.00°
Space group I4mm (No. 107)
Asymmetric unit:
1 Y 0.0000 0.0000 0.0000 x2
2 Sc 0.0000 0.0000 0.2887 x2
3 Zn 0.0000 0.0000 0.6624 x2

=====

Entry 5:
DFT (meta-GGA SCAN) results for a crystal of YZr2Sc relaxed with PBEsol.

Output
- E above lowest polymorph: 1.96 kcal/mol of atoms

a = 4.5389 Å, b = 4.5389 Å, c = 9.2872 Å
α = 90.00°, β = 90.00°, γ = 90.00°
Space group I4/mmm (No. 139)
Asymmetric unit:
1 Y 0.0000 0.0000 0.0000 x2
2 Zr 0.0000 0.5000 0.2500 x4
3 Sc 0.0000 0.0000 0.5000 x2

=====

Entry 6:
DFT (meta-GGA SCAN) results for a crystal of YZrSc2 relaxed with PBEsol.

Output
- E above lowest polymorph: 0.65 kcal/mol of atoms

a = 3.2633 Å, b = 3.2633 Å, c = 31.8988 Å
α = 90.00°, β = 90.00°, γ = 120.00°
Space group R-3m (No. 166, hexagonal axes)
Asymmetric unit:
1 Y 0.0000 0.0000 0.0000 x3
2 Zr 0.0000 0.0000 0.5000 x3
3 Sc 0.0000 0.0000 0.2449 x6

=====

Entry 7:
DFT (meta-GGA SCAN) results for a crystal of YZr2Sc relaxed with PBEsol.

Output
- E above lowest polymorph: 1.82 kcal/mol of atoms

a = 4.5936 Å, b = 4.5936 Å, c = 9.0681 Å
α = 90.00°, β = 90.00°, γ = 90.00°
Space group I-4m2 (No. 119)
Asymmetric unit:
1 Y 0.0000 0.0000 0.0000 x2
2 Zr 0.0000 0.0000 0.5000 x2
3 Zr 0.0000 0.5000 0.7500 x2
4 Sc 0.0000 0.5000 0.2500 x2

=====

Entry 8:
DFT (meta-GGA SCAN) results for a crystal of YZr2Sc relaxed with PBEsol.

Output
- E above lowest polymorph: 1.90 kcal/mol of atoms

a = 10.6019 Å, b = 3.2011 Å, c = 5.7425 Å
α = 90.00°, β = 98.88°, γ = 90.00°
Space group Cm (No. 8)
Asymmetric unit:
1 Y 0.0000 0.0000 0.0000 x2
2 Zr 0.0014 0.5000 0.5067 x2
3 Zr 0.2464 0.0000 0.7281 x2
4 Sc 0.2559 0.5000 0.2659 x2

=====

Per-record formation enthalpy at 0 K, eV/atom: -0.21 -0.33 -0.19 -0.27 0.12 0.10 0.11 0.12
Per-record density of states at the Fermi level, states/eV per atom: 1.05 0.32 1.03 1.10 1.15 1.52 1.09 1.42